1.
# Cs2NaPb2F7 PBE optimized geometry
data_Cs2NaPb2F7
_symmetry_space_group_name_H-M 'C 1 2/m 1'
_symmetry_Int_Tables_number 12
_cell_length_a 6.2004
_cell_length_b 7.0727
_cell_length_c 12.6568
_cell_angle_alpha 90.00
_cell_angle_beta 100.40
_cell_angle_gamma 90.00
loop_
_symmetry_equiv_pos_as_xyz
'x,y,z'
'-x,-y,-z'
'-x,y,-z'
'x,-y,z'
'x+1/2,y+1/2,z'
'-x+1/2,-y+1/2,-z'
'-x+1/2,y+1/2,-z'
'x+1/2,-y+1/2,z'
loop_
_atom_site_label
_atom_site_fract_x
_atom_site_fract_y
_atom_site_fract_z
_atom_site_occupancy
Cs1 0.2024 0.0000 0.3738 1
Na1 0.0000 0.0000 0.0000 1
Pb1 0.1292 0.5000 0.1823 1
F1 0.0000 0.5000 0.0000 1
F2 0.0712 0.1919 0.8457 1
F3 0.2208 0.5000 0.3935 1
# - V: 22.75 Å³/atom
# - Energy: -4.44 eV per atom
# - Total moment: 0.0 μB per cell

---

2.
# CsNaPbF4 PBE optimized geometry
data_CsNaPbF4
_symmetry_space_group_name_H-M 'P 1 21/m 1'
_symmetry_Int_Tables_number 11
_cell_length_a 6.8201
_cell_length_b 6.3583
_cell_length_c 8.1175
_cell_angle_alpha 90.00
_cell_angle_beta 112.42
_cell_angle_gamma 90.00
loop_
_symmetry_equiv_pos_as_xyz
'x,y,z'
'-x,-y,-z'
'-x,y+1/2,-z'
'x,-y+1/2,z'
loop_
_atom_site_label
_atom_site_fract_x
_atom_site_fract_y
_atom_site_fract_z
_atom_site_occupancy
Cs1 0.2274 0.2500 0.0456 1
Na1 0.4316 0.2500 0.6720 1
Pb1 0.1599 0.7500 0.4714 1
F1 0.1955 0.0140 0.6875 1
F2 0.2230 0.7500 0.1791 1
F3 0.4699 0.2500 0.4165 1
# - V: 23.24 Å³/atom
# - Energy: -4.42 eV per atom
# - Total moment: 0.0 μB per cell

---

3.
# CsNaPb2F8 PBE optimized geometry
data_CsNaPb2F8
_symmetry_space_group_name_H-M 'P -1'
_symmetry_Int_Tables_number 2
_cell_length_a 4.0619
_cell_length_b 6.3916
_cell_length_c 8.0389
_cell_angle_alpha 90.18
_cell_angle_beta 90.00
_cell_angle_gamma 90.14
loop_
_symmetry_equiv_pos_as_xyz
'x,y,z'
'-x,-y,-z'
loop_
_atom_site_label
_atom_site_fract_x
_atom_site_fract_y
_atom_site_fract_z
_atom_site_occupancy
Cs1 0.0000 0.0000 0.0000 1
Na1 0.0000 0.0000 0.5000 1
Pb1 0.5000 0.4991 0.7408 1
F1 0.9996 0.2951 0.7271 1
F2 0.9996 0.2983 0.2721 1
F3 0.4991 0.6891 0.0003 1
F4 0.4995 0.2801 0.4994 1
# - V: 17.39 Å³/atom
# - Energy: -4.30 eV per atom
# - Total moment: 0.0 μB per cell